# 1
A plane-wave DFT calculation with PBE was carried out for crystalline SrGaSnSb3 at its relaxed geometry.

Output
Crystal system   monoclinic
Energy relative to the elements, uncorrected   -6.7 kcal/mol of atoms
Space-group type   P2_1/m, No. 11

a b c (Å): 9.327 4.476 9.357
angles (deg): 90.00 93.81 90.00
Sites, in units of the cell vectors:
Sr 0.212 0.250 0.291
Sr 0.788 0.750 0.709
Ga 0.041 0.250 0.640
Ga 0.959 0.750 0.360
Sn 0.360 0.750 0.887
Sn 0.640 0.250 0.113
Sb 0.085 0.250 0.942
Sb 0.195 0.750 0.576
Sb 0.455 0.750 0.197
Sb 0.545 0.250 0.803
Sb 0.805 0.250 0.424
Sb 0.915 0.750 0.058

***

# 2
A plane-wave DFT calculation with PBE was carried out for crystalline Sr3LiY at its relaxed geometry.

Output
Crystal system   cubic
Formation energy from the elements   0.421 eV/atom
Space-group type   Pm-3m, No. 221
Energy above the most stable polymorph in this dataset   0 meV/atom

a b c (Å): 6.138 6.138 6.138
angles (deg): 90.00 90.00 90.00
Sites, in units of the cell vectors:
Sr 0.000 0.000 0.500
Sr 0.000 0.500 0.000
Sr 0.500 0.000 0.000
Li 0.000 0.000 0.000
Y 0.500 0.500 0.500

***

Listing ρ for the structures above in their given order: 5.5; 2.6 g/cm³.